# 1
BeCr2GeO6 | GGA+U | relaxed

- total magnetization (μB per formula unit) = 6.0
- raw total energy (eV per atom) = -7.26
- space-group type = R3, No. 146

Geometry as POSCAR:
```
BeCr2GeO6
1.0
4.913 0.000 -0.005
2.457 4.255 -0.001
2.460 1.417 4.683
O Cr Ge Be
6 2 1 1
Direct
0.439 0.748 0.712 O
0.944 0.598 0.241 O
0.748 0.101 0.712 O
0.217 0.945 0.241 O
0.598 0.217 0.241 O
0.101 0.439 0.712 O
0.514 0.514 0.458 Cr
0.021 0.021 0.938 Cr
0.821 0.821 0.537 Ge
0.259 0.259 0.223 Be
```

=====

# 2
BeCrGe2O6 | GGA+U | relaxed

- total magnetization (μB per formula unit) = 4.0
- raw total energy (eV per atom) = -6.86
- space-group type = C2/c, No. 15

Geometry as POSCAR:
```
BeCrGe2O6
1.0
5.346 0.089 0.092
1.825 6.729 -0.106
1.825 -0.356 6.720
Ge O Be Cr
4 12 2 2
Direct
0.186 0.400 0.218 Ge
0.314 0.782 0.600 Ge
0.686 0.218 0.400 Ge
0.814 0.600 0.782 Ge
0.953 0.359 0.840 O
0.047 0.641 0.160 O
0.166 0.983 0.794 O
0.030 0.699 0.592 O
0.334 0.206 0.017 O
0.547 0.160 0.641 O
0.530 0.592 0.699 O
0.470 0.408 0.301 O
0.453 0.840 0.359 O
0.834 0.017 0.206 O
0.666 0.794 0.983 O
0.970 0.301 0.408 O
0.750 0.802 0.198 Be
0.250 0.198 0.802 Be
0.750 0.107 0.893 Cr
0.250 0.893 0.107 Cr
```

=====

The lowest raw total energy belongs to which entry? BeCr2GeO6